No. 1
Material: Ba2CaMg
Method: DFT, PBEsol
State: optimized geometry

a = 6.135 Å, b = 6.135 Å, c = 6.135 Å
α = 60.00°, β = 60.00°, γ = 60.00°
Atoms (fractional coordinates):
1 Ba 0.000 0.000 0.000
2 Ba 0.250 0.250 0.250
3 Ca 0.750 0.750 0.750
4 Mg 0.500 0.500 0.500

Computed properties:
* energy of formation: 0.02 eV/atom

---

No. 2
Material: CaY2P
Method: DFT, PBEsol
State: optimized geometry

a = 9.734 Å, b = 9.734 Å, c = 9.734 Å
α = 22.82°, β = 22.82°, γ = 22.82°
Atoms (fractional coordinates):
1 Ca 0.000 0.000 0.000
2 Y 0.221 0.221 0.221
3 Y 0.779 0.779 0.779
4 P 0.500 0.500 0.500

Computed properties:
* energy of formation: -0.76 eV/atom

---

No. 3
Material: KMg2Se
Method: DFT, PBEsol
State: optimized geometry

a = 6.146 Å, b = 6.146 Å, c = 3.846 Å
α = 90.00°, β = 90.00°, γ = 120.73°
Atoms (fractional coordinates):
1 K 0.000 0.000 0.000
2 Mg 0.322 0.678 0.500
3 Mg 0.678 0.322 0.500
4 Se 0.500 0.500 0.000

Computed properties:
* total energy: -10.22 eV per cell

---

No. 4
Material: AgW2Au
Method: DFT, PBEsol
State: optimized geometry

a = 4.833 Å, b = 4.833 Å, c = 4.833 Å
α = 130.55°, β = 130.55°, γ = 72.53°
Atoms (fractional coordinates):
1 Ag 0.000 0.000 0.000
2 W 0.250 0.750 0.500
3 W 0.500 0.500 0.000
4 Au 0.750 0.250 0.500

Computed properties:
* energy of formation: 0.54 eV/atom

---

No. 5
Material: LiNiP4O12
Method: DFT, PBEsol
State: optimized geometry

a = 5.017 Å, b = 13.017 Å, c = 7.096 Å
α = 90.00°, β = 100.45°, γ = 90.00°
Atoms (fractional coordinates):
1 Li 0.097 0.000 0.115
2 Li 0.903 0.500 0.885
3 Ni 0.008 0.669 0.586
4 Ni 0.992 0.169 0.414
5 P 0.270 0.780 0.957
6 P 0.361 0.131 0.814
7 P 0.486 0.533 0.516
8 P 0.496 0.316 0.387
9 P 0.504 0.816 0.613
10 P 0.514 0.033 0.484
11 P 0.639 0.631 0.186
12 P 0.730 0.280 0.043
13 O 0.099 0.153 0.675
14 O 0.106 0.860 0.030
15 O 0.140 0.685 0.851
16 O 0.206 0.302 0.405
17 O 0.229 0.530 0.593
18 O 0.275 0.087 0.358
19 O 0.308 0.735 0.522
20 O 0.331 0.070 0.984
21 O 0.398 0.920 0.507
22 O 0.433 0.574 0.301
23 O 0.468 0.834 0.828
24 O 0.487 0.738 0.134
25 O 0.513 0.238 0.866
26 O 0.532 0.334 0.172
27 O 0.567 0.074 0.699
28 O 0.602 0.420 0.493
29 O 0.669 0.570 0.016
30 O 0.692 0.235 0.478
31 O 0.725 0.587 0.642
32 O 0.771 0.030 0.407
33 O 0.794 0.802 0.595
34 O 0.860 0.185 0.149
35 O 0.894 0.360 0.970
36 O 0.901 0.653 0.325

Computed properties:
* ΔE to the lowest computed polymorph: 0.033 eV/atom

---

No. 6
Material: FeCoPt2
Method: DFT, PBEsol
State: optimized geometry

a = 2.682 Å, b = 2.682 Å, c = 7.281 Å
α = 90.00°, β = 90.00°, γ = 90.00°
Atoms (fractional coordinates):
1 Fe 0.000 0.000 0.000
2 Co 0.500 0.500 0.780
3 Pt 0.000 0.000 0.538
4 Pt 0.500 0.500 0.249

Computed properties:
* energy of formation: -0.06 eV/atom

---

No. 7
Material: BeZn4Ru
Method: DFT, PBEsol
State: optimized geometry

a = 4.787 Å, b = 4.787 Å, c = 4.787 Å
α = 60.00°, β = 60.00°, γ = 60.00°
Atoms (fractional coordinates):
1 Be 0.000 0.000 0.000
2 Zn 0.375 0.375 0.375
3 Zn 0.375 0.375 0.874
4 Zn 0.375 0.874 0.375
5 Zn 0.874 0.375 0.375
6 Ru 0.750 0.750 0.750

Computed properties:
* energy of formation: 0.21 eV/atom

---

No. 8
Material: AsIrPd2Pt
Method: DFT, PBEsol
State: optimized geometry

a = 4.473 Å, b = 4.473 Å, c = 4.499 Å
α = 90.00°, β = 90.00°, γ = 90.00°
Atoms (fractional coordinates):
1 As 0.000 0.000 0.000
2 Ir 0.000 0.000 0.500
3 Pd 0.000 0.500 0.000
4 Pd 0.500 0.000 0.000
5 Pt 0.500 0.500 0.500

Computed properties:
* energy of formation: 0.82 eV/atom